No. 1
First-principles (PBEsol) data for a relaxed YHgMo2 crystal, as listed in Alexandria.

Computed properties:
As for the spin magnetization: 0.0 μB/cell. The value obtained for the formation energy from the elements is 0.73 eV per atom.

```
data_YHgMo2
_chemical_formula_sum 'Y3 Hg3 Mo6'
_space_group_name_H-M_alt 'R -3 m'
_space_group_IT_number 166
_space_group_name_Hall '-R 3 2"'
_cell_length_a 2.9423
_cell_length_b 2.9423
_cell_length_c 30.1468
_cell_angle_alpha 90.00
_cell_angle_beta 90.00
_cell_angle_gamma 120.00
loop_
_atom_site_label
_atom_site_type_symbol
_atom_site_fract_x
_atom_site_fract_y
_atom_site_fract_z
Y1 Y 0.0000 0.0000 0.0000
Hg1 Hg 0.0000 0.0000 0.5000
Mo1 Mo 0.0000 0.0000 0.2458
```


No. 2
First-principles (PBEsol) data for a relaxed YHgMo2 crystal, as listed in Alexandria.

Computed properties:
As for the spin magnetization: 0.0 μB/cell. The value obtained for the formation energy from the elements is 0.42 eV per atom.

```
data_YHgMo2
_chemical_formula_sum 'Y1 Hg1 Mo2'
_space_group_name_H-M_alt 'P 1 2/m 1'
_space_group_IT_number 10
_cell_length_a 3.002
_cell_length_b 5.006
_cell_length_c 5.164
_cell_angle_alpha 90.00
_cell_angle_beta 94.31
_cell_angle_gamma 90.00
loop_
_space_group_symop_operation_xyz
'x,y,z'
'-x,-y,-z'
'-x,y,-z'
'x,-y,z'
loop_
_atom_site_label
_atom_site_type_symbol
_atom_site_fract_x
_atom_site_fract_y
_atom_site_fract_z
Y1 Y 0.000 0.000 0.000
Hg1 Hg 0.500 0.000 0.500
Mo1 Mo 0.335 0.500 0.780
```


No. 3
First-principles (PBEsol) data for a relaxed YHgMo2 crystal, as listed in Alexandria.

Computed properties:
As for the spin magnetization: 0.0 μB/cell. The value obtained for the formation energy from the elements is 0.07 eV per atom.

```
data_YHgMo2
_chemical_formula_sum 'Y1 Hg1 Mo2'
_space_group_name_H-M_alt 'P 4 m m'
_space_group_IT_number 99
_cell_length_a 3.252
_cell_length_b 3.252
_cell_length_c 7.296
_cell_angle_alpha 90.00
_cell_angle_beta 90.00
_cell_angle_gamma 90.00
loop_
_space_group_symop_operation_xyz
'x,y,z'
'-y,x,z'
'-x,-y,z'
'y,-x,z'
'-x,y,z'
'y,x,z'
'x,-y,z'
'-y,-x,z'
loop_
_atom_site_label
_atom_site_type_symbol
_atom_site_fract_x
_atom_site_fract_y
_atom_site_fract_z
Y1 Y 0.000 0.000 0.000
Hg1 Hg 0.500 0.500 0.302
Mo1 Mo 0.000 0.000 0.554
Mo2 Mo 0.500 0.500 0.727
```